1.
Density functional theory data (PBE) for Pr2Al2ZnPt5 after structural relaxation.

Calculated values
ρ	12.38	Mg/m³
size of the total moment	0.000	μB per atom
formation energy from the elements	-0.8394	eV per atom

Cell and atoms, written as CIF:
```
data_Pr2Al2ZnPt5
_chemical_formula_sum 'Pr4 Al4 Zn2 Pt10'
_space_group_name_H-M_alt 'P 4/m b m'
_space_group_IT_number 127
_space_group_name_Hall '-P 4 2ab'
_cell_length_a 10.5598
_cell_length_b 10.5598
_cell_length_c 3.3105
_cell_angle_alpha 90.00
_cell_angle_beta 90.00
_cell_angle_gamma 90.00
loop_
_atom_site_label
_atom_site_fract_x
_atom_site_fract_y
_atom_site_fract_z
Pr1 0.1760 0.3240 0.0000
Al1 0.1276 0.6276 0.0000
Zn1 0.0000 0.0000 0.0000
Pt1 0.0000 0.5000 0.5000
Pt2 0.0563 0.8018 0.5000
```

=====

2.
Density functional theory data (PBE) for BiRu2N2 after structural relaxation.

Calculated values
formation energy from raw total energies	625	meV/atom
ρ	9.74	Mg/m³
size of the total moment	0.000	μB per atom

Cell and atoms, written as CIF:
```
data_BiRu2N2
_chemical_formula_sum 'Bi2 Ru4 N4'
_space_group_name_H-M_alt 'I 4/m m m'
_space_group_IT_number 139
_space_group_name_Hall '-I 4 2'
_cell_length_a 3.7794
_cell_length_b 3.7794
_cell_length_c 10.4808
_cell_angle_alpha 90.00
_cell_angle_beta 90.00
_cell_angle_gamma 90.00
loop_
_atom_site_label
_atom_site_fract_x
_atom_site_fract_y
_atom_site_fract_z
Bi1 0.0000 0.0000 0.0000
Ru1 0.0000 0.5000 0.2500
N1 0.0000 0.0000 0.3333
```

=====

3.
Density functional theory data (PBE) for Pm12Nd2Sc5 after structural relaxation.

Calculated values
ρ	6.06	Mg/m³
size of the total moment	0.000	μB per atom
formation energy from the elements	0.1561	eV per atom

Cell and atoms, written as CIF:
```
data_Pm12Nd2Sc5
_chemical_formula_sum 'Pm24 Nd4 Sc10'
_space_group_name_H-M_alt 'C 1 2/m 1'
_space_group_IT_number 12
_cell_length_a 21.7965
_cell_length_b 6.9842
_cell_length_c 8.5677
_cell_angle_alpha 90.00
_cell_angle_beta 108.91
_cell_angle_gamma 90.00
loop_
_space_group_symop_operation_xyz
'x,y,z'
'-x,-y,-z'
'-x,y,-z'
'x,-y,z'
'x+1/2,y+1/2,z'
'-x+1/2,-y+1/2,-z'
'-x+1/2,y+1/2,-z'
'x+1/2,-y+1/2,z'
loop_
_atom_site_label
_atom_site_fract_x
_atom_site_fract_y
_atom_site_fract_z
Pm1 0.0492 0.0000 0.1931
Pm2 0.1087 0.2459 0.8885
Pm3 0.1462 0.5000 0.5661
Pm4 0.2022 0.2468 0.2915
Nd1 0.0000 0.2461 0.5000
Sc1 0.0000 0.5000 0.0000
Sc2 0.1519 0.0000 0.5975
Sc3 0.2490 0.0000 0.0020
```

=====

4.
Density functional theory data (PBE) for Ho3Tm3In after structural relaxation.

Calculated values
ρ	9.06	Mg/m³
size of the total moment	0.000	μB per atom
formation energy from the elements	-0.1053	eV per atom

Cell and atoms, written as CIF:
```
data_Ho3Tm3In
_chemical_formula_sum 'Ho6 Tm6 In2'
_space_group_name_H-M_alt 'P 63/m'
_space_group_IT_number 176
_space_group_name_Hall '-P 6c'
_cell_length_a 9.2805
_cell_length_b 9.2805
_cell_length_c 5.4827
_cell_angle_alpha 90.00
_cell_angle_beta 90.00
_cell_angle_gamma 120.00
loop_
_atom_site_label
_atom_site_fract_x
_atom_site_fract_y
_atom_site_fract_z
Ho1 0.0637 0.8210 0.2500
Tm1 0.1049 0.6236 0.7500
In1 0.3333 0.6667 0.2500
```

=====

5.
Density functional theory data (PBE) for BaHg3Pb after structural relaxation.

Calculated values
ρ	7.39	Mg/m³
size of the total moment	0.000	μB per atom
formation energy from the elements	-0.0665	eV per atom

Cell and atoms, written as CIF:
```
data_BaHg3Pb
_chemical_formula_sum 'Ba4 Hg12 Pb4'
_space_group_name_H-M_alt 'I -4 m 2'
_space_group_IT_number 119
_space_group_name_Hall 'I -4 -2'
_cell_length_a 5.8292
_cell_length_b 5.8292
_cell_length_c 25.0323
_cell_angle_alpha 90.00
_cell_angle_beta 90.00
_cell_angle_gamma 90.00
loop_
_atom_site_label
_atom_site_fract_x
_atom_site_fract_y
_atom_site_fract_z
Ba1 0.0000 0.0000 0.0000
Ba2 0.0000 0.5000 0.2500
Hg1 0.0000 0.2468 0.1268
Hg2 0.0000 0.5000 0.5817
Pb1 0.0000 0.0000 0.3724
```

=====

6.
Density functional theory data (PBE) for GaAsSeN2 after structural relaxation.

Calculated values
formation energy from raw total energies	1286	meV/atom
ρ	5.04	Mg/m³
size of the total moment	0.439	μB per atom

Cell and atoms, written as CIF:
```
data_GaAsSeN2
_chemical_formula_sum 'Ga1 As1 Se1 N2'
_space_group_name_H-M_alt 'P 4/m m m'
_space_group_IT_number 123
_space_group_name_Hall '-P 4 2'
_cell_length_a 3.9308
_cell_length_b 3.9308
_cell_length_c 5.3703
_cell_angle_alpha 90.00
_cell_angle_beta 90.00
_cell_angle_gamma 90.00
loop_
_atom_site_label
_atom_site_fract_x
_atom_site_fract_y
_atom_site_fract_z
Ga1 0.0000 0.0000 0.0000
As1 0.5000 0.5000 0.5000
Se1 0.0000 0.0000 0.5000
N1 0.0000 0.5000 0.0000
```

=====

7.
Density functional theory data (PBE) for AlCrTc after structural relaxation.

Calculated values
ρ	6.24	Mg/m³
size of the total moment	0.169	μB per atom
formation energy from the elements	0.2969	eV per atom

Cell and atoms, written as CIF:
```
data_AlCrTc
_chemical_formula_sum 'Al4 Cr4 Tc4'
_space_group_name_H-M_alt 'F -4 3 m'
_space_group_IT_number 216
_space_group_name_Hall 'F -4 2 3'
_cell_length_a 5.7335
_cell_length_b 5.7335
_cell_length_c 5.7335
_cell_angle_alpha 90.00
_cell_angle_beta 90.00
_cell_angle_gamma 90.00
loop_
_atom_site_label
_atom_site_fract_x
_atom_site_fract_y
_atom_site_fract_z
Al1 0.0000 0.0000 0.0000
Cr1 0.2500 0.2500 0.2500
Tc1 0.0000 0.0000 0.5000
```

=====

8.
Density functional theory data (PBE) for FeCo6Rh after structural relaxation.

Calculated values
ρ	9.20	Mg/m³
size of the total moment	1.674	μB per atom
formation energy from the elements	0.0333	eV per atom

Cell and atoms, written as CIF:
```
data_FeCo6Rh
_chemical_formula_sum 'Fe2 Co12 Rh2'
_space_group_name_H-M_alt 'A m m 2'
_space_group_IT_number 38
_cell_length_a 3.5594
_cell_length_b 7.2215
_cell_length_c 7.1943
_cell_angle_alpha 90.00
_cell_angle_beta 90.00
_cell_angle_gamma 90.00
loop_
_space_group_symop_operation_xyz
'x,y,z'
'-x,-y,z'
'-x,y,z'
'x,-y,z'
'x,y+1/2,z+1/2'
'-x,-y+1/2,z+1/2'
'-x,y+1/2,z+1/2'
'x,-y+1/2,z+1/2'
loop_
_atom_site_label
_atom_site_fract_x
_atom_site_fract_y
_atom_site_fract_z
Fe1 0.0000 0.0000 0.0000
Co1 0.0000 0.0000 0.4835
Co2 0.0000 0.2423 0.2437
Co3 0.5000 0.0000 0.2464
Co4 0.5000 0.2468 0.4934
Rh1 0.5000 0.0000 0.7416
```

=====

9.
Density functional theory data (PBE) for Th6PdRu2Se3 after structural relaxation.

Calculated values
formation energy from raw total energies	-1072	meV/atom
ρ	9.93	Mg/m³
size of the total moment	0.000	μB per atom

Cell and atoms, written as CIF:
```
data_Th6PdRu2Se3
_chemical_formula_sum 'Th12 Pd2 Ru4 Se6'
_space_group_name_H-M_alt 'C 1 2/m 1'
_space_group_IT_number 12
_cell_length_a 18.8871
_cell_length_b 4.1174
_cell_length_c 8.7739
_cell_angle_alpha 90.00
_cell_angle_beta 108.26
_cell_angle_gamma 90.00
loop_
_space_group_symop_operation_xyz
'x,y,z'
'-x,-y,-z'
'-x,y,-z'
'x,-y,z'
'x+1/2,y+1/2,z'
'-x+1/2,-y+1/2,-z'
'-x+1/2,y+1/2,-z'
'x+1/2,-y+1/2,z'
loop_
_atom_site_label
_atom_site_fract_x
_atom_site_fract_y
_atom_site_fract_z
Th1 0.0102 0.0000 0.2445
Th2 0.1641 0.5000 0.1079
Th3 0.1756 0.5000 0.5647
Pd1 0.0000 0.5000 0.0000
Ru1 0.1662 0.0000 0.3317
Se1 0.0000 0.5000 0.5000
Se2 0.1646 0.0000 0.8343
```

=====

10.
Density functional theory data (PBE) for DyEr4Tl7 after structural relaxation.

Calculated values
ρ	10.49	Mg/m³
size of the total moment	0.000	μB per atom
formation energy from the elements	-0.0876	eV per atom

Cell and atoms, written as CIF:
```
data_DyEr4Tl7
_chemical_formula_sum 'Dy2 Er8 Tl14'
_space_group_name_H-M_alt 'C 1 2/m 1'
_space_group_IT_number 12
_cell_length_a 13.4823
_cell_length_b 5.6527
_cell_length_c 11.2798
_cell_angle_alpha 90.00
_cell_angle_beta 123.61
_cell_angle_gamma 90.00
loop_
_space_group_symop_operation_xyz
'x,y,z'
'-x,-y,-z'
'-x,y,-z'
'x,-y,z'
'x+1/2,y+1/2,z'
'-x+1/2,-y+1/2,-z'
'-x+1/2,y+1/2,-z'
'x+1/2,-y+1/2,z'
loop_
_atom_site_label
_atom_site_fract_x
_atom_site_fract_y
_atom_site_fract_z
Dy1 0.0000 0.0000 0.0000
Er1 0.0837 0.5000 0.7834
Er2 0.2179 0.5000 0.3264
Tl1 0.0000 0.5000 0.0000
Tl2 0.0817 0.0000 0.3280
Tl3 0.1342 0.5000 0.5461
Tl4 0.2134 0.0000 0.8952
```

=====

11.
Density functional theory data (PBE) for SmPd2F8 after structural relaxation.

Calculated values
formation energy from raw total energies	-2201	meV/atom
ρ	4.85	Mg/m³
size of the total moment	0.054	μB per atom

Cell and atoms, written as CIF:
```
data_SmPd2F8
_chemical_formula_sum 'Sm2 Pd4 F16'
_space_group_name_H-M_alt 'C 1 2/m 1'
_space_group_IT_number 12
_cell_length_a 9.7862
_cell_length_b 7.2340
_cell_length_c 4.9953
_cell_angle_alpha 90.00
_cell_angle_beta 94.54
_cell_angle_gamma 90.00
loop_
_space_group_symop_operation_xyz
'x,y,z'
'-x,-y,-z'
'-x,y,-z'
'x,-y,z'
'x+1/2,y+1/2,z'
'-x+1/2,-y+1/2,-z'
'-x+1/2,y+1/2,-z'
'x+1/2,-y+1/2,z'
loop_
_atom_site_label
_atom_site_fract_x
_atom_site_fract_y
_atom_site_fract_z
Sm1 0.0000 0.0000 0.0000
Pd1 0.1169 0.5000 0.2564
F1 0.0853 0.5000 0.7485
F2 0.1128 0.2234 0.2477
F3 0.1784 0.0000 0.7431
```

=====

12.
Density functional theory data (PBE) for AcNdZnCu after structural relaxation.

Calculated values
ρ	7.87	Mg/m³
size of the total moment	0.000	μB per atom
formation energy from the elements	-0.1867	eV per atom

Cell and atoms, written as CIF:
```
data_AcNdZnCu
_chemical_formula_sum 'Ac1 Nd1 Zn1 Cu1'
_space_group_name_H-M_alt 'P 4 m m'
_space_group_IT_number 99
_cell_length_a 3.7595
_cell_length_b 3.7595
_cell_length_c 7.4658
_cell_angle_alpha 90.00
_cell_angle_beta 90.00
_cell_angle_gamma 90.00
loop_
_space_group_symop_operation_xyz
'x,y,z'
'-y,x,z'
'-x,-y,z'
'y,-x,z'
'-x,y,z'
'y,x,z'
'x,-y,z'
'-y,-x,z'
loop_
_atom_site_label
_atom_site_fract_x
_atom_site_fract_y
_atom_site_fract_z
Ac1 0.0000 0.0000 0.0000
Nd1 0.0000 0.0000 0.5123
Zn1 0.5000 0.5000 0.2796
Cu1 0.5000 0.5000 0.7277
```

=====

- The highest ρ belongs to which entry?
  Pr2Al2ZnPt5